Entry from the Alexandria database: a relaxed structure of SmTm3In (PBE).

Calculated values
Its space group is P2_1/c (14). The density of states at the Fermi level comes out at 21.1 states/eV/cell. For the total magnetization, the calculation gives 0.00 μB per formula unit. For the total DFT energy (no corrections), the calculation gives -4.3015 eV/atom. For the formation energy, the calculation gives -127 meV per atom.

a = 6.5299 Å, b = 11.4443 Å, c = 8.7864 Å
α = 117.42°, β = 90.00°, γ = 90.00°
Last column: nearest neighbours and their distance in Å.
Fractional coordinates of all 20 atoms:
1 Tm 0.2462 0.5519 0.8475  3 In 3.25-3.30, 4 Tm 3.38-3.56, 1 Sm 3.49
2 Tm 0.5651 0.1566 0.1002  3 Sm 3.26-3.42, 4 Tm 3.30-3.56, 1 In 3.31
3 Tm 0.0359 0.7236 0.2620  3 In 3.24-3.51, 5 Tm 3.34-3.52, 1 Sm 3.40
4 Tm 0.5359 0.7764 0.2380  3 In 3.24-3.51, 5 Tm 3.34-3.52, 1 Sm 3.40
5 Tm 0.7538 0.4481 0.1525  3 In 3.25-3.30, 4 Tm 3.38-3.56, 1 Sm 3.49
6 Tm 0.7462 0.9481 0.6525  3 In 3.25-3.30, 4 Tm 3.38-3.56, 1 Sm 3.49
7 Tm 0.9349 0.6566 0.6002  3 Sm 3.26-3.42, 4 Tm 3.30-3.56, 1 In 3.31
8 Tm 0.0651 0.3434 0.3998  3 Sm 3.26-3.42, 4 Tm 3.30-3.56, 1 In 3.31
9 Tm 0.9641 0.2764 0.7380  3 In 3.24-3.51, 5 Tm 3.34-3.52, 1 Sm 3.40
10 Tm 0.4641 0.2236 0.7620  3 In 3.24-3.51, 5 Tm 3.34-3.52, 1 Sm 3.40
11 Tm 0.2538 0.0519 0.3475  3 In 3.25-3.30, 4 Tm 3.38-3.56, 1 Sm 3.49
12 Tm 0.4349 0.8434 0.8998  3 Sm 3.26-3.42, 4 Tm 3.30-3.56, 1 In 3.31
13 Sm 0.5728 0.3659 0.5070  2 In 3.25-3.27, 5 Tm 3.26-3.49, 1 Sm 3.27
14 Sm 0.0728 0.1341 0.9930  2 In 3.25-3.27, 5 Tm 3.26-3.49, 1 Sm 3.27
15 Sm 0.4272 0.6341 0.4930  2 In 3.25-3.27, 5 Tm 3.26-3.49, 1 Sm 3.27
16 Sm 0.9272 0.8659 0.0070  2 In 3.25-3.27, 5 Tm 3.26-3.49, 1 Sm 3.27
17 In 0.2497 0.9312 0.6174  7 Tm 3.24-3.51, 2 Sm 3.25-3.27
18 In 0.7497 0.5688 0.8826  7 Tm 3.24-3.51, 2 Sm 3.25-3.27
19 In 0.2503 0.4312 0.1174  7 Tm 3.24-3.51, 2 Sm 3.25-3.27
20 In 0.7503 0.0688 0.3826  7 Tm 3.24-3.51, 2 Sm 3.25-3.27